Entry 1:
# Ac12SnHg6

An optimized crystal structure of Ac12SnHg6 (PBE, the Alexandria database).

The calculated volume comes out at 824 Å³/cell. For the density of states at the Fermi level, the calculation gives 29.43 states/eV/cell. As for the space group: R-3, No. 148. The value obtained for the formation energy from the elements is -0.1406 eV per atom.

Unit cell a=9.566 b=9.566 c=9.566 alpha=100.65 beta=100.65 gamma=100.65
Sites, in units of the cell vectors:
Ac 0.064 0.672 0.923
Ac 0.077 0.936 0.328
Ac 0.180 0.418 0.565
Ac 0.328 0.077 0.936
Ac 0.418 0.565 0.180
Ac 0.435 0.820 0.582
Ac 0.565 0.180 0.418
Ac 0.582 0.435 0.820
Ac 0.672 0.923 0.064
Ac 0.820 0.582 0.435
Ac 0.923 0.064 0.672
Ac 0.936 0.328 0.077
Sn 0.000 0.000 0.000
Hg 0.139 0.615 0.317
Hg 0.317 0.139 0.615
Hg 0.385 0.683 0.861
Hg 0.615 0.317 0.139
Hg 0.683 0.861 0.385
Hg 0.861 0.385 0.683

***

Entry 2:
# Rb2LiInH6

An optimized crystal structure of Rb2LiInH6 (PBE, the Alexandria database).

The calculated volume comes out at 287 Å³/cell. As for the space group: Pmmn, No. 59. The total energy comes out at -2.79 eV/atom.

Unit cell a=5.879 b=8.315 c=5.880 alpha=90.00 beta=90.00 gamma=90.00
Sites, in units of the cell vectors:
Rb 0.250 0.000 0.250
Rb 0.250 0.500 0.250
Rb 0.750 0.000 0.750
Rb 0.750 0.500 0.750
Li 0.250 0.250 0.749
Li 0.750 0.750 0.251
In 0.250 0.750 0.750
In 0.750 0.250 0.250
H 0.011 0.750 0.510
H 0.011 0.750 0.989
H 0.250 0.511 0.750
H 0.250 0.989 0.750
H 0.489 0.750 0.510
H 0.489 0.750 0.989
H 0.511 0.250 0.011
H 0.511 0.250 0.490
H 0.750 0.011 0.250
H 0.750 0.489 0.250
H 0.989 0.250 0.011
H 0.989 0.250 0.490

***

Entry 3:
# Pr6Rh2Se3S

An optimized crystal structure of Pr6Rh2Se3S (PBE, the Alexandria database).

The calculated volume comes out at 324 Å³/cell. For the density of states at the Fermi level, the calculation gives 6.39 states/eV/cell. As for the space group: C2/m, No. 12. The total energy comes out at -6.27 eV/atom.

Unit cell a=9.586 b=9.586 c=8.676 alpha=105.40 beta=105.40 gamma=24.99
Sites, in units of the cell vectors:
Pr 0.007 0.007 0.248
Pr 0.329 0.329 0.425
Pr 0.333 0.333 0.894
Pr 0.667 0.667 0.106
Pr 0.671 0.671 0.575
Pr 0.993 0.993 0.752
Rh 0.168 0.168 0.336
Rh 0.832 0.832 0.664
Se 0.161 0.161 0.840
Se 0.500 0.500 0.500
Se 0.839 0.839 0.160
S 0.500 0.500 0.000

***

Entry 4:
# HfGaAu

An optimized crystal structure of HfGaAu (PBE, the Alexandria database).

The calculated volume comes out at 111 Å³/cell. For the density of states at the Fermi level, the calculation gives 4.15 states/eV/cell. As for the space group: Amm2, No. 38. The value obtained for the formation energy from the elements is -0.3993 eV per atom.

Unit cell a=4.150 b=6.994 c=6.994 alpha=33.16 beta=90.00 gamma=90.00
Sites, in units of the cell vectors:
Hf 0.000 0.000 0.000
Hf 0.000 0.319 0.319
Ga 0.500 0.155 0.155
Ga 0.500 0.482 0.482
Au 0.000 0.664 0.664
Au 0.500 0.830 0.830